Entry 1:
# Sc2AgPd2

An optimized crystal structure of Sc2AgPd2 (PBE-GGA, Alexandria).

The value obtained for the calculated formation energy is -698 meV/atom. For the polymorph energy (0 for the lowest one), the calculation gives 0 meV per atom. As for the crystal system: tetragonal. The mass density is 7.26 Mg/m³.

The space group is P4/mbm (No. 127) and the conventional cell measures 7.527, 7.527 and 3.314 Å, with angles of 90.00, 90.00 and 90.00 degrees. The distinct sites, in fractional coordinates, are Sc at (0.167, 0.333, 0.000), Ag at (0.000, 0.000, 0.500) and Pd at (0.132, 0.632, 0.500).

---

Entry 2:
# RbBe3B

An optimized crystal structure of RbBe3B (PBE-GGA, Alexandria).

The value obtained for the calculated formation energy is 3237 meV/atom. For the polymorph energy (0 for the lowest one), the calculation gives 2244 meV per atom. As for the crystal system: cubic. The mass density is 0.80 Mg/m³.

The space group is Pm-3m (No. 221) and the conventional cell measures 6.355, 6.355 and 6.355 Å, with angles of 90.00, 90.00 and 90.00 degrees. The distinct sites, in fractional coordinates, are Rb at (0.000, 0.000, 0.000), Be at (0.000, 0.000, 0.500) and B at (0.500, 0.500, 0.500).

---

Entry 3:
# Be2SnC2

An optimized crystal structure of Be2SnC2 (PBE-GGA, Alexandria).

The value obtained for the calculated formation energy is 1091 meV/atom. For the polymorph energy (0 for the lowest one), the calculation gives 0 meV per atom. As for the crystal system: tetragonal. The mass density is 4.69 Mg/m³.

The space group is I4/mmm (No. 139) and the conventional cell measures 2.871, 2.871 and 13.793 Å, with angles of 90.00, 90.00 and 90.00 degrees. The distinct sites, in fractional coordinates, are Be at (0.000, 0.000, 0.167), Sn at (0.000, 0.000, 0.500) and C at (0.000, 0.500, 0.250).

---

Entry 4:
# TcAgP2O

An optimized crystal structure of TcAgP2O (PBE-GGA, Alexandria).

The energy relative to the elements, uncorrected is 6 meV/atom. For the polymorph energy (0 for the lowest one), the calculation gives 0 meV per atom. As for the crystal system: tetragonal. The mass density is 5.55 Mg/m³.

The space group is P4/mmm (No. 123) and the conventional cell measures 4.795, 4.795 and 3.692 Å, with angles of 90.00, 90.00 and 90.00 degrees. The distinct sites, in fractional coordinates, are Tc at (0.000, 0.000, 0.000), Ag at (0.500, 0.500, 0.500), P at (0.000, 0.500, 0.000) and O at (0.000, 0.000, 0.500).

---

Entry 5:
# Ce3PrEr2P6

An optimized crystal structure of Ce3PrEr2P6 (PBE-GGA, Alexandria).

The value obtained for the calculated formation energy is -1533 meV/atom. As for the crystal system: monoclinic. The mass density is 6.29 Mg/m³.

The space group is C2/m (No. 12) and the conventional cell measures 7.051, 12.214 and 7.035 Å, with angles of 90.00, 109.54 and 90.00 degrees. The distinct sites, in fractional coordinates, are Ce at (0.000, 0.000, 0.000), Ce at (0.000, 0.335, 0.000), Pr at (0.000, 0.500, 0.500), Er at (0.000, 0.167, 0.500), P at (0.241, 0.000, 0.749) and P at (0.246, 0.171, 0.250).

---

Entry 6:
# LiFeS2Cl

An optimized crystal structure of LiFeS2Cl (PBE-GGA, Alexandria).

The energy relative to the elements, uncorrected is 416 meV/atom. For the polymorph energy (0 for the lowest one), the calculation gives 692 meV per atom. As for the crystal system: tetragonal. The mass density is 2.96 Mg/m³.

The space group is P4/mmm (No. 123) and the conventional cell measures 4.352, 4.352 and 4.804 Å, with angles of 90.00, 90.00 and 90.00 degrees. The distinct sites, in fractional coordinates, are Li at (0.000, 0.000, 0.000), Fe at (0.500, 0.500, 0.500), S at (0.000, 0.500, 0.000) and Cl at (0.000, 0.000, 0.500).